Ag5Pt6 | GGA-PBE | optimized geometry

The structure in extended XYZ format:
```
11
Lattice="4.9087 0.0019 0.0103 0.9698 6.3339 -0.0059 -3.2005 -2.2040 5.8339" Properties=species:S:1:pos:R:3 pbc="T T T"
Ag 0.9711 6.3226 0.0045
Ag -0.7703 -1.2391 4.8109
Ag -0.7440 0.7258 2.6511
Ag 4.1909 2.6926 0.5015
Ag -1.4894 1.4629 5.2918
Pt 1.6844 -0.2407 3.6573
Pt 1.7362 1.6942 1.6551
Pt 0.9552 2.4288 4.2087
Pt 3.4029 3.4617 3.1451
Pt 0.9875 4.3257 2.1614
Pt 3.4352 5.3586 1.0978
```

Computed properties:
The value obtained for the formation energy is 26.6 meV per atom. As for the crystal system: triclinic.

***

Ag3Pt | GGA-PBE | optimized geometry

The structure in extended XYZ format:
```
4
Lattice="4.0951 0.0000 0.0000 0.0000 4.0951 0.0000 0.0000 0.0000 4.0951" Properties=species:S:1:pos:R:3 pbc="T T T"
Ag 0.0000 0.0000 0.0000
Ag 0.0000 2.0475 2.0475
Ag 2.0475 0.0000 2.0475
Pt 2.0475 2.0475 0.0000
```

Computed properties:
The value obtained for the formation energy is 24.3 meV per atom. As for the crystal system: cubic.

***

Ag5Pt4 | GGA-PBE | optimized geometry

The structure in extended XYZ format:
```
18
Lattice="-5.6510 -5.3775 1.9273 1.7568 -6.0711 4.9620 -1.4760 3.0960 4.3107" Properties=species:S:1:pos:R:3 pbc="T T T"
Ag -1.2455 -5.0505 4.9609
Ag 0.2555 -1.3842 2.8415
Ag -4.0112 -2.6919 2.3199
Ag -4.1246 -3.3020 6.2391
Ag 0.0253 -1.5909 6.4311
Ag -3.1158 0.4104 3.9181
Ag -1.2981 -3.8162 2.2964
Ag -3.3341 -6.0844 6.7482
Ag -2.5961 -7.6324 4.5929
Ag -2.0360 -2.2682 4.4518
Pt 0.0000 0.0000 0.0000
Pt -0.7380 1.5480 2.1553
Pt -3.7391 -4.8171 3.9394
Pt 0.8469 -3.4278 4.5118
Pt -2.1089 -0.8817 1.6711
Pt -1.6310 -3.5355 7.2606
Pt -0.5660 0.4527 4.7608
Pt -5.0180 -1.3997 4.5669
```

Computed properties:
The value obtained for the formation energy is 161.8 meV per atom. As for the crystal system: hexagonal.

***

Ag4Pt5 | GGA-PBE | optimized geometry

The structure in extended XYZ format:
```
18
Lattice="8.0149 0.0000 0.0000 4.0075 6.9411 0.0000 0.0000 0.0000 5.4459" Properties=species:S:1:pos:R:3 pbc="T T T"
Ag 0.0000 0.0000 0.0000
Ag 0.0000 0.0000 2.7229
Ag 6.7951 2.1129 1.3615
Ag 2.7876 4.8282 1.3615
Ag 2.4398 0.0000 1.3615
Ag 5.2274 4.8282 4.0844
Ag 1.2199 2.1129 4.0844
Ag 5.5752 0.0000 4.0844
Pt 5.4794 4.3916 1.3615
Pt 1.4720 2.5495 1.3615
Pt 5.0710 0.0000 1.3615
Pt 6.5430 2.5495 4.0844
Pt 2.5355 4.3916 4.0844
Pt 2.9439 0.0000 4.0844
Pt 4.0075 2.3137 0.0000
Pt 8.0150 4.6274 2.7229
Pt 8.0150 4.6274 0.0000
Pt 4.0075 2.3137 2.7229
```

Computed properties:
The value obtained for the formation energy is 185.1 meV per atom. As for the crystal system: hexagonal.

***

Ag3Pt | GGA-PBE | optimized geometry

The structure in extended XYZ format:
```
4
Lattice="-2.7140 0.4157 0.8211 0.4857 -1.5250 2.3773 2.2775 6.9645 4.0022" Properties=species:S:1:pos:R:3 pbc="T T T"
Ag 2.2643 6.9243 3.9791
Ag 1.1519 3.5225 2.0242
Ag -0.5448 1.1865 2.5997
Pt 0.5939 4.6687 4.6009
```

Computed properties:
The value obtained for the formation energy is 15.9 meV per atom. As for the crystal system: tetragonal.

***

Ag2Pt3 | GGA-PBE | optimized geometry

The structure in extended XYZ format:
```
10
Lattice="7.5022 -0.0070 -0.0103 1.6103 4.6753 0.0004 1.5816 0.3145 4.6609" Properties=species:S:1:pos:R:3 pbc="T T T"
Ag 0.0138 0.0137 0.0040
Ag 8.0109 1.5110 2.3124
Ag 6.4130 1.2653 4.6356
Ag 4.2861 3.7633 0.0072
Pt 6.9894 2.8397 -0.0034
Pt 7.4702 4.2991 2.3330
Pt 5.3161 2.5095 2.3075
Pt 3.2486 0.6479 2.3141
Pt 3.7207 2.2110 4.6503
Pt 2.6545 3.3623 2.3688
```

Computed properties:
The value obtained for the formation energy is 34.4 meV per atom. As for the crystal system: triclinic.

***

AgPt | GGA-PBE | optimized geometry

The structure in extended XYZ format:
```
4
Lattice="-0.9939 -2.0333 -1.6598 0.0198 -0.3462 2.7851 -8.8554 3.8833 0.5458" Properties=species:S:1:pos:R:3 pbc="T T T"
Ag -8.8381 3.8757 0.5448
Ag -2.5493 0.0699 1.4410
Pt -4.4352 1.9449 0.2734
Pt -6.9521 2.0006 1.7124
```

Computed properties:
The value obtained for the formation energy is 15.5 meV per atom. As for the crystal system: trigonal.

***

Ag3Pt2 | GGA-PBE | optimized geometry

The structure in extended XYZ format:
```
5
Lattice="2.8404 0.0000 0.0000 0.0000 12.0764 0.0056 -1.4202 -0.3352 2.4369" Properties=species:S:1:pos:R:3 pbc="T T T"
Ag 1.4202 11.6842 2.4346
Ag 0.0000 2.1471 1.9506
Ag 1.4202 4.6864 1.4722
Pt 0.0000 7.1410 0.9821
Pt 1.4202 9.5648 0.4878
```

Computed properties:
The value obtained for the formation energy is 12.8 meV per atom. As for the crystal system: trigonal.

***

AgPt5 | GGA-PBE | optimized geometry

The structure in extended XYZ format:
```
6
Lattice="1.3730 -7.3584 0.0000 1.3730 7.3584 0.0000 0.0000 0.0000 4.7551" Properties=species:S:1:pos:R:3 pbc="T T T"
Ag 1.3730 -7.3035 0.0000
Pt 1.3730 4.0402 2.3776
Pt 1.3730 2.5287 0.0000
Pt 1.3730 -0.8898 2.3776
Pt 1.3730 -2.4181 0.0000
Pt 1.3730 -5.7686 2.3776
```

Computed properties:
The value obtained for the formation energy is 63.7 meV per atom. As for the crystal system: orthorhombic.

***

AgPt | GGA-PBE | optimized geometry

The structure in extended XYZ format:
```
4
Lattice="-7.9689 -5.1190 1.8732 -7.6644 -5.8091 -0.8534 -6.2675 -7.2557 1.1363" Properties=species:S:1:pos:R:3 pbc="T T T"
Ag -0.0256 -0.0213 0.0025
Ag -5.4496 -4.5247 0.5365
Pt -10.9303 -9.0752 1.0761
Pt -16.4457 -13.6545 1.6190
```

Computed properties:
The value obtained for the formation energy is -12.3 meV per atom. As for the crystal system: trigonal.

***

AgPt | GGA-PBE | optimized geometry

The structure in extended XYZ format:
```
4
Lattice="2.8181 0.0000 0.0000 0.0000 2.8181 0.0000 0.0000 0.0000 8.3398" Properties=species:S:1:pos:R:3 pbc="T T T"
Ag 0.7045 0.7045 1.0890
Ag 2.1136 2.1136 7.2507
Pt 0.7045 0.7045 5.1600
Pt 2.1136 2.1136 3.1798
```

Computed properties:
The value obtained for the formation energy is 4.5 meV per atom. As for the crystal system: tetragonal.

***

Ag3Pt2 | GGA-PBE | optimized geometry

The structure in extended XYZ format:
```
10
Lattice="2.8309 0.0000 0.0000 0.0000 7.1317 0.0258 0.0000 2.4097 8.3191" Properties=species:S:1:pos:R:3 pbc="T T T"
Ag 0.0000 2.4422 8.2534
Ag 1.4155 7.1732 2.5175
Ag 0.0000 7.0893 4.9996
Ag 1.4155 7.1648 7.5197
Ag 0.0000 4.8068 1.7122
Ag 0.0000 4.7493 6.7025
Pt 1.4155 4.7308 4.1986
Pt 1.4155 2.4142 0.9270
Pt 0.0000 2.4367 3.3251
Pt 1.4155 2.3387 5.7152
```

Computed properties:
The value obtained for the formation energy is 3.2 meV per atom. As for the crystal system: monoclinic.